Entry 1:
! GGA-PBEsol Ta2BePt, relaxed; values from VASP
&SYSTEM
  ibrav = 0, nat = 8, ntyp = 3
/
ATOMIC_SPECIES
Be 9.01 Be.upf
Pt 195.08 Pt.upf
Ta 180.95 Ta.upf
CELL_PARAMETERS angstrom
3.7478 0.0000 0.0000
0.0000 3.7478 0.0000
-1.8739 -1.8739 9.2397
ATOMIC_POSITIONS crystal
Be 0.7500 0.2500 0.5000
Be 0.5000 0.5000 0.0000
Pt 0.2500 0.7500 0.5000
Pt 0.0000 0.0000 0.0000
Ta 0.8656 0.3750 0.2500
Ta 0.3844 0.8750 0.2500
Ta 0.6250 0.6156 0.7500
Ta 0.1250 0.1344 0.7500
! energy of formation = 0.41 eV/atom
! D(E_F) = 3.50 states/eV/f.u.
! final energy = -8.61 eV/atom
! spin magnetization = 0.00 Bohr magnetons per cell


Entry 2:
! GGA-PBEsol LiSnP2O7, relaxed; values from VASP
&SYSTEM
  ibrav = 0, nat = 44, ntyp = 4
/
ATOMIC_SPECIES
Li 6.94 Li.upf
Sn 118.71 Sn.upf
P 30.97 P.upf
O 16.00 O.upf
CELL_PARAMETERS angstrom
5.2081 -0.0505 -0.0403
0.1384 8.2758 -0.0184
0.4556 3.4460 13.5422
ATOMIC_POSITIONS crystal
Li 0.2240 0.7097 0.8342
Li 0.1470 0.6342 0.3371
Li 0.8530 0.3658 0.6629
Li 0.7760 0.2903 0.1658
Sn 0.7598 0.9096 0.3596
Sn 0.7608 0.3932 0.8843
Sn 0.2392 0.6068 0.1157
Sn 0.2402 0.0904 0.6404
P 0.7413 0.0212 0.7831
P 0.7171 0.7347 0.9540
P 0.2633 0.7817 0.5158
P 0.3237 0.4915 0.6845
P 0.6763 0.5085 0.3155
P 0.7367 0.2183 0.4842
P 0.2829 0.2653 0.0460
P 0.2586 0.9788 0.2169
O 0.0107 0.9611 0.7555
O 0.6857 0.9304 0.8948
O 0.5328 0.9645 0.7204
O 0.1711 0.8909 0.5822
O 0.0013 0.6928 0.9487
O 0.5458 0.8086 0.4830
O 0.5517 0.6378 0.8972
O 0.0934 0.7962 0.4253
O 0.2673 0.7954 0.2244
O 0.1587 0.5567 0.7561
O 0.2329 0.5919 0.5723
O 0.6087 0.5136 0.6882
O 0.7684 0.6878 0.3164
O 0.6111 0.7290 0.0570
O 0.3889 0.2710 0.9430
O 0.2316 0.3122 0.6836
O 0.3913 0.4864 0.3118
O 0.7671 0.4081 0.4277
O 0.8413 0.4433 0.2439
O 0.7327 0.2046 0.7756
O 0.9066 0.2038 0.5747
O 0.4483 0.3622 0.1028
O 0.4542 0.1914 0.5170
O 0.9987 0.3072 0.0513
O 0.8289 0.1091 0.4178
O 0.4672 0.0355 0.2796
O 0.3143 0.0696 0.1052
O 0.9893 0.0389 0.2445
! D(E_F) = 0.00 states/eV/f.u.
! final energy = -7.04 eV/atom
! spin magnetization = 0.00 Bohr magnetons per cell
! polymorph energy (0 for the lowest one) = 0.0 meV per atom
! formation energy from raw total energies = -22.9 eV per formula unit


Entry 3:
! GGA-PBEsol InRePt2, relaxed; values from VASP
&SYSTEM
  ibrav = 0, nat = 4, ntyp = 3
/
ATOMIC_SPECIES
In 114.82 In.upf
Pt 195.08 Pt.upf
Re 186.21 Re.upf
CELL_PARAMETERS angstrom
2.8538 0.0000 0.0000
1.4269 2.4714 0.0000
1.4269 0.8238 9.0047
ATOMIC_POSITIONS crystal
In 0.0000 0.0000 0.0000
Pt 0.2467 0.2467 0.2598
Pt 0.7533 0.7533 0.7402
Re 0.5000 0.5000 0.5000
! energy of formation = -0.02 eV/atom
! D(E_F) = 2.17 states/eV/f.u.
! final energy = -7.58 eV/atom
! spin magnetization = 0.00 Bohr magnetons per cell


> spin magnetization of number 3 (InRePt2)?

0.00 Bohr magnetons per cell


Repeat the third record exactly.
! GGA-PBEsol InRePt2, relaxed; values from VASP
&SYSTEM
  ibrav = 0, nat = 4, ntyp = 3
/
ATOMIC_SPECIES
In 114.82 In.upf
Pt 195.08 Pt.upf
Re 186.21 Re.upf
CELL_PARAMETERS angstrom
2.8538 0.0000 0.0000
1.4269 2.4714 0.0000
1.4269 0.8238 9.0047
ATOMIC_POSITIONS crystal
In 0.0000 0.0000 0.0000
Pt 0.2467 0.2467 0.2598
Pt 0.7533 0.7533 0.7402
Re 0.5000 0.5000 0.5000
! energy of formation = -0.02 eV/atom
! D(E_F) = 2.17 states/eV/f.u.
! final energy = -7.58 eV/atom
! spin magnetization = 0.00 Bohr magnetons per cell